(1)
# TlAs2RhBr PBE relaxed
# Formation energy (no corrections) in eV/atom: 1.382
# Crystal system: tetragonal
data_TlAs2RhBr
_cell_length_a 5.2695
_cell_length_b 5.2695
_cell_length_c 5.6676
_cell_angle_alpha 90.00
_cell_angle_beta 90.00
_cell_angle_gamma 90.00
_space_group_name_H-M_alt 'P 1'
_space_group_IT_number 1
loop_
_space_group_symop_operation_xyz
'x,y,z'
loop_
_atom_site_label
_atom_site_fract_x
_atom_site_fract_y
_atom_site_fract_z
Br1 0.0000 0.0000 0.5000
As1 0.5000 0.0000 0.0000
As2 0.0000 0.5000 0.0000
Tl1 0.0000 0.0000 0.0000
Rh1 0.5000 0.5000 0.5000

***

(2)
# TlAs2RhBr PBE relaxed
# Formation energy (no corrections) in eV/atom: 0.087
# Crystal system: tetragonal
data_TlAs2RhBr
_cell_length_a 4.7508
_cell_length_b 4.7508
_cell_length_c 5.9885
_cell_angle_alpha 90.00
_cell_angle_beta 90.00
_cell_angle_gamma 90.00
_space_group_name_H-M_alt 'P 1'
_space_group_IT_number 1
loop_
_space_group_symop_operation_xyz
'x,y,z'
loop_
_atom_site_label
_atom_site_fract_x
_atom_site_fract_y
_atom_site_fract_z
As1 0.0000 0.5000 0.0000
Rh1 0.0000 0.0000 0.0000
As2 0.5000 0.0000 0.0000
Br1 0.0000 0.0000 0.5000
Tl1 0.5000 0.5000 0.5000

***

(3)
# VAs2RhBr PBE relaxed
# Formation energy (no corrections) in eV/atom: 0.658
# Crystal system: tetragonal
data_VAs2RhBr
_cell_length_a 4.6740
_cell_length_b 4.6740
_cell_length_c 5.0440
_cell_angle_alpha 90.00
_cell_angle_beta 90.00
_cell_angle_gamma 90.00
_space_group_name_H-M_alt 'P 1'
_space_group_IT_number 1
loop_
_space_group_symop_operation_xyz
'x,y,z'
loop_
_atom_site_label
_atom_site_fract_x
_atom_site_fract_y
_atom_site_fract_z
As1 0.5000 0.0000 0.0000
Rh1 0.5000 0.5000 0.5000
V1 0.0000 0.0000 0.0000
As2 0.0000 0.5000 0.0000
Br1 0.0000 0.0000 0.5000

***

(4)
# VAs2RhBr PBE relaxed
# Formation energy (no corrections) in eV/atom: 0.638
# Crystal system: tetragonal
data_VAs2RhBr
_cell_length_a 4.7114
_cell_length_b 4.7114
_cell_length_c 5.3378
_cell_angle_alpha 90.00
_cell_angle_beta 90.00
_cell_angle_gamma 90.00
_space_group_name_H-M_alt 'P 1'
_space_group_IT_number 1
loop_
_space_group_symop_operation_xyz
'x,y,z'
loop_
_atom_site_label
_atom_site_fract_x
_atom_site_fract_y
_atom_site_fract_z
As1 0.0000 0.5000 0.0000
Br1 0.0000 0.0000 0.5000
Rh1 0.0000 0.0000 0.0000
V1 0.5000 0.5000 0.5000
As2 0.5000 0.0000 0.0000

***

Number 1: D(E_F) 1.90 states/eV/atom, E above lowest polymorph 1295 meV/atom. Number 2: D(E_F) 0.71 states/eV/atom, E above lowest polymorph 0 meV/atom. Number 3: D(E_F) 1.17 states/eV/atom, E above lowest polymorph 20 meV/atom. Number 4: D(E_F) 0.99 states/eV/atom, E above lowest polymorph 0 meV/atom.